This record from the Alexandria database describes PWO2F after structural relaxation. The functional is PBE+U.

Output
The calculated volume comes out at 13.57 Å³ per atom. As for the space group: P4/mmm, No. 123. The total energy is -5.4908 eV/atom.

Cell lengths 3.952, 3.952, 4.345 Å; angles 90.00, 90.00, 90.00 degrees
Last column: magnetic moment on the atom in μB.
Fractional coordinates of all 5 atoms:
P: 0.500 0.500 0.500  0.99
O: 0.000 0.500 0.000  0.05
O: 0.500 0.000 0.000  0.05
F: 0.000 0.000 0.500  0.08
W: 0.000 0.000 0.000  0.08